No. 1
## Np2CuPt3 (PBE-GGA)

Data for a relaxed structure of Np2CuPt3.

Formation enthalpy at 0 K (eV per atom): -0.52
DOS at the Fermi energy (states/eV per cell): 25.56
DFT total energy (eV/cell): -102.4
Space-group type: P6_3/mmc

Cell: 5.528 5.528 8.282 Å, 90.00 90.00 120.00°
Fractional coordinates of all 12 atoms:
Np1 0.333 0.667 0.073
Np2 0.333 0.667 0.427
Np3 0.667 0.333 0.573
Np4 0.667 0.333 0.927
Cu1 0.000 0.000 0.000
Cu2 0.000 0.000 0.500
Pt1 0.168 0.337 0.750
Pt2 0.168 0.832 0.750
Pt3 0.337 0.168 0.250
Pt4 0.663 0.832 0.750
Pt5 0.832 0.168 0.250
Pt6 0.832 0.663 0.250

No. 2
## NpCuPt2 (PBE-GGA)

Data for a relaxed structure of NpCuPt2.

Formation enthalpy at 0 K (eV per atom): -0.39
DOS at the Fermi energy (states/eV per cell): 9.03
DFT total energy (eV/cell): -30.7
Space-group type: R-3m

Cell: 5.151 5.151 5.151 Å, 49.78 49.78 49.78°
Fractional coordinates of all 4 atoms:
Np1 0.000 0.000 0.000
Cu1 0.500 0.500 0.500
Pt1 0.224 0.224 0.224
Pt2 0.776 0.776 0.776

No. 3
## NpCu4Pt (PBE-GGA)

Data for a relaxed structure of NpCu4Pt.

Formation enthalpy at 0 K (eV per atom): -0.11
DOS at the Fermi energy (states/eV per cell): 13.17
DFT total energy (eV/cell): -36.0
Space-group type: F-43m

Cell: 5.008 5.008 5.008 Å, 60.00 60.00 60.00°
Fractional coordinates of all 6 atoms:
Np1 0.000 0.000 0.000
Cu1 0.127 0.624 0.624
Cu2 0.624 0.127 0.624
Cu3 0.624 0.624 0.127
Cu4 0.624 0.624 0.624
Pt1 0.250 0.250 0.250

- Which value of DFT total energy does entry 1 give?
  -102.4 eV/cell

- Which of these has the lowest formation enthalpy at 0 K?
  Np2CuPt3

- formation enthalpy at 0 K of number 3 (NpCu4Pt)?
  -0.11 eV per atom

- Which formula does entry 3 have?
  NpCu4Pt